Record 1
Here is a relaxed BaLiGaAu crystal from the Alexandria database. Energies are from PBE-GGA.

Cell: 4.584 4.584 6.416 Å, 69.07 69.07 60.00°
Element x y z (fractional)
Ba 0.807 0.807 0.578
Ga 0.002 0.002 0.994
Au 0.618 0.618 0.146
Li 0.298 0.298 0.105

Properties
formation enthalpy at 0 K = -497 meV/atom

Record 2
Here is a relaxed Ba2LiGaAu crystal from the Alexandria database. Energies are from PBE-GGA.

Cell: 6.503 4.823 6.503 Å, 90.00 90.00 90.00°
Element x y z (fractional)
Au 0.000 0.500 0.000
Ba 0.000 0.000 0.500
Ba 0.500 0.000 0.000
Ga 0.000 0.000 0.000
Li 0.500 0.500 0.500

Properties
formation enthalpy at 0 K = -129 meV/atom

Record 3
Here is a relaxed Ba2Li3GaAu4 crystal from the Alexandria database. Energies are from PBE-GGA.

Cell: 4.705 4.705 10.627 Å, 90.00 90.00 90.00°
Element x y z (fractional)
Au 0.000 0.500 0.375
Ga 0.500 0.500 0.500
Ba 0.000 0.500 0.755
Ba 0.500 0.000 0.245
Au 0.000 0.000 0.000
Li 0.000 0.000 0.500
Li 0.500 0.000 0.884
Au 0.500 0.500 0.000
Au 0.500 0.000 0.625
Li 0.000 0.500 0.116

Properties
formation enthalpy at 0 K = -581 meV/atom

Record 4
Here is a relaxed BaLiGa2Au4 crystal from the Alexandria database. Energies are from PBE-GGA.

Cell: 4.546 4.546 9.781 Å, 76.56 76.56 60.00°
Element x y z (fractional)
Au 0.863 0.863 0.410
Ga 0.235 0.235 0.296
Au 0.409 0.409 0.774
Ga 0.765 0.765 0.704
Ba 0.000 0.000 0.000
Au 0.591 0.591 0.226
Li 0.500 0.500 0.500
Au 0.137 0.137 0.590

Properties
formation enthalpy at 0 K = -490 meV/atom

Record 5
Here is a relaxed BaLiGa2Au5 crystal from the Alexandria database. Energies are from PBE-GGA.

Cell: 4.981 4.981 8.673 Å, 90.00 90.00 90.00°
Element x y z (fractional)
Au 0.000 0.500 0.832
Ga 0.500 0.500 0.792
Ba 0.000 0.000 0.500
Au 0.500 0.000 0.832
Ga 0.500 0.500 0.208
Au 0.500 0.000 0.168
Li 0.000 0.000 0.000
Au 0.000 0.500 0.168
Au 0.500 0.500 0.500

Properties
formation enthalpy at 0 K = -381 meV/atom

Record 6
Here is a relaxed Ba2LiGaAu6 crystal from the Alexandria database. Energies are from PBE-GGA.

Cell: 7.113 7.115 7.024 Å, 60.47 60.46 91.09°
Element x y z (fractional)
Au 0.210 0.210 0.089
Ba 0.715 0.285 0.500
Au 0.789 0.789 0.509
Li 0.500 0.500 0.000
Au 0.256 0.744 0.000
Au 0.211 0.211 0.491
Ga 0.000 0.000 0.000
Au 0.744 0.256 0.000
Au 0.790 0.790 0.911
Ba 0.285 0.715 0.500

Properties
formation enthalpy at 0 K = -491 meV/atom

Record 7
Here is a relaxed BaMgGa2Au5 crystal from the Alexandria database. Energies are from PBE-GGA.

Cell: 4.931 4.931 9.051 Å, 90.00 90.00 90.00°
Element x y z (fractional)
Au 0.500 0.500 0.500
Ba 0.000 0.000 0.500
Au 0.500 0.000 0.162
Au 0.500 0.000 0.838
Au 0.000 0.500 0.838
Mg 0.000 0.000 0.000
Ga 0.500 0.500 0.221
Ga 0.500 0.500 0.779
Au 0.000 0.500 0.162

Properties
formation enthalpy at 0 K = -400 meV/atom

Record 8
Here is a relaxed BaMgGaAu6 crystal from the Alexandria database. Energies are from PBE-GGA.

Cell: 7.510 9.994 8.301 Å, 127.01 116.89 90.00°
Element x y z (fractional)
Ba 0.265 0.515 0.529
Au 0.927 0.119 0.254
Au 0.941 0.191 0.882
Mg 0.500 0.000 0.500
Au 0.673 0.365 0.746
Ga 0.500 0.000 0.000
Au 0.073 0.365 0.746
Ba 0.735 0.485 0.471
Mg 0.000 0.000 0.500
Au 0.327 0.119 0.254
Au 0.073 0.881 0.746
Au 0.673 0.881 0.746
Ga 0.500 0.500 0.000
Au 0.433 0.183 0.865
Au 0.927 0.635 0.254
Au 0.327 0.635 0.254
Au 0.059 0.809 0.118
Au 0.567 0.817 0.135

Properties
formation enthalpy at 0 K = -315 meV/atom

Record 9
Here is a relaxed BaMg4GaAu2 crystal from the Alexandria database. Energies are from PBE-GGA.

Cell: 4.661 4.661 10.674 Å, 77.39 77.39 60.00°
Element x y z (fractional)
Ga 0.500 0.500 0.500
Ba 0.000 0.000 0.000
Mg 0.868 0.868 0.396
Mg 0.411 0.411 0.766
Mg 0.132 0.132 0.604
Au 0.754 0.754 0.739
Mg 0.589 0.589 0.234
Au 0.246 0.246 0.261

Properties
formation enthalpy at 0 K = -369 meV/atom

Record 10
Here is a relaxed BaMg2GaAu crystal from the Alexandria database. Energies are from PBE-GGA.

Cell: 6.601 5.902 6.601 Å, 90.00 90.00 90.00°
Element x y z (fractional)
Mg 0.500 0.000 0.000
Au 0.000 0.500 0.000
Ba 0.000 0.000 0.000
Mg 0.000 0.000 0.500
Ga 0.500 0.500 0.500

Properties
formation enthalpy at 0 K = 861 meV/atom

Record 11
Here is a relaxed BaMgGa2Au4 crystal from the Alexandria database. Energies are from PBE-GGA.

Cell: 4.592 4.592 10.005 Å, 76.73 76.73 60.00°
Element x y z (fractional)
Ba 0.000 0.000 0.000
Au 0.864 0.864 0.407
Mg 0.500 0.500 0.500
Au 0.406 0.406 0.782
Au 0.136 0.136 0.593
Ga 0.238 0.238 0.285
Au 0.594 0.594 0.218
Ga 0.762 0.762 0.715

Properties
formation enthalpy at 0 K = -463 meV/atom

Record 12
Here is a relaxed Ba2MgGa3Au12 crystal from the Alexandria database. Energies are from PBE-GGA.

Cell: 8.458 8.458 8.458 Å, 64.95 64.95 64.95°
Element x y z (fractional)
Ga 0.000 0.000 0.500
Au 0.877 0.877 0.359
Au 0.877 0.359 0.877
Au 0.858 0.332 0.332
Au 0.359 0.877 0.877
Au 0.668 0.142 0.668
Ba 0.388 0.388 0.388
Ga 0.000 0.500 0.000
Au 0.332 0.332 0.858
Au 0.332 0.858 0.332
Au 0.641 0.123 0.123
Ga 0.500 0.000 0.000
Au 0.123 0.641 0.123
Au 0.668 0.668 0.142
Au 0.123 0.123 0.641
Au 0.142 0.668 0.668
Mg 0.000 0.000 0.000
Ba 0.612 0.612 0.612

Properties
formation enthalpy at 0 K = -184 meV/atom

Record 13
Here is a relaxed BaMgGa2Au crystal from the Alexandria database. Energies are from PBE-GGA.

Cell: 4.517 4.648 6.638 Å, 110.49 109.89 90.00°
Element x y z (fractional)
Ba 0.445 0.445 0.890
Ga 0.691 0.191 0.382
Mg 0.192 0.692 0.384
Ga 0.059 0.059 0.117
Au 0.825 0.825 0.651

Properties
formation enthalpy at 0 K = -512 meV/atom

Record 14
Here is a relaxed Ba2MgGaAu6 crystal from the Alexandria database. Energies are from PBE-GGA.

Cell: 7.373 6.974 7.314 Å, 61.70 56.99 89.93°
Element x y z (fractional)
Ga 0.000 0.000 0.000
Au 0.661 0.751 0.496
Au 0.249 0.753 0.911
Mg 0.500 0.500 0.000
Ba 0.783 0.218 0.564
Au 0.249 0.336 0.912
Au 0.751 0.247 0.089
Au 0.751 0.664 0.088
Au 0.339 0.249 0.504
Ba 0.217 0.782 0.436

Properties
formation enthalpy at 0 K = -545 meV/atom

Record 15
Here is a relaxed BaMg2Ga2Au2 crystal from the Alexandria database. Energies are from PBE-GGA.

Cell: 4.599 4.599 9.429 Å, 75.88 75.88 60.00°
Element x y z (fractional)
Ga 0.422 0.422 0.733
Ga 0.578 0.578 0.267
Mg 0.864 0.864 0.407
Mg 0.136 0.136 0.593
Au 0.238 0.238 0.286
Ba 0.000 0.000 0.000
Au 0.762 0.762 0.714

Properties
formation enthalpy at 0 K = -520 meV/atom

Record 16
Here is a relaxed BaMgGaAu2 crystal from the Alexandria database. Energies are from PBE-GGA.

Cell: 4.500 4.500 6.898 Å, 109.04 109.04 90.00°
Element x y z (fractional)
Au 0.623 0.623 0.245
Au 0.377 0.377 0.755
Mg 0.250 0.750 0.500
Ba 0.000 0.000 0.000
Ga 0.750 0.250 0.500

Properties
formation enthalpy at 0 K = -601 meV/atom

Record 17
Here is a relaxed BaMgGa2Au2 crystal from the Alexandria database. Energies are from PBE-GGA.

Cell: 4.557 4.557 7.832 Å, 90.00 90.00 120.00°
Element x y z (fractional)
Au 0.667 0.333 0.325
Au 0.333 0.667 0.675
Ga 0.333 0.667 0.308
Mg 0.000 0.000 0.500
Ba 0.000 0.000 0.000
Ga 0.667 0.333 0.692

Properties
formation enthalpy at 0 K = -587 meV/atom

Record 18
Here is a relaxed BaMg2GaAu4 crystal from the Alexandria database. Energies are from PBE-GGA.

Cell: 4.620 4.620 10.178 Å, 76.88 76.88 60.00°
Element x y z (fractional)
Au 0.133 0.133 0.600
Mg 0.768 0.768 0.695
Mg 0.232 0.232 0.305
Au 0.593 0.593 0.221
Au 0.867 0.867 0.400
Ga 0.500 0.500 0.500
Ba 0.000 0.000 0.000
Au 0.407 0.407 0.779

Properties
formation enthalpy at 0 K = -511 meV/atom

Record 19
Here is a relaxed Ba2MnGaAu6 crystal from the Alexandria database. Energies are from PBE-GGA.

Cell: 7.206 7.207 7.221 Å, 60.00 60.00 90.02°
Element x y z (fractional)
Ga 0.500 0.500 0.000
Au 0.250 0.250 0.499
Ba 0.750 0.250 0.500
Mn 0.000 0.000 0.000
Au 0.750 0.750 0.000
Au 0.251 0.750 0.000
Au 0.250 0.250 0.000
Ba 0.250 0.750 0.500
Au 0.750 0.750 0.501
Au 0.749 0.250 0.000

Properties
formation enthalpy at 0 K = -369 meV/atom

Record 20
Here is a relaxed Ba2GaAuN crystal from the Alexandria database. Energies are from PBE-GGA.

Cell: 4.350 7.553 9.144 Å, 110.90 90.00 90.00°
Element x y z (fractional)
Ga 0.750 0.446 0.271
Ba 0.250 0.203 0.959
Ga 0.250 0.554 0.729
Ba 0.750 0.797 0.041
N 0.250 0.819 0.836
Au 0.750 0.340 0.704
N 0.750 0.181 0.164
Ba 0.750 0.817 0.609
Ba 0.250 0.183 0.391
Au 0.250 0.660 0.296

Properties
raw formation energy = -54 kJ/mol of atoms

Record 21
Here is a relaxed BaNaGa2Au5 crystal from the Alexandria database. Energies are from PBE-GGA.

Cell: 5.068 5.068 8.181 Å, 90.00 90.00 90.00°
Element x y z (fractional)
Au 0.500 0.000 0.772
Ba 0.000 0.000 0.500
Au 0.000 0.500 0.772
Ga 0.500 0.500 0.836
Au 0.500 0.000 0.228
Na 0.000 0.000 0.000
Au 0.000 0.500 0.228
Au 0.500 0.500 0.500
Ga 0.500 0.500 0.164

Properties
formation enthalpy at 0 K = -360 meV/atom

Record 22
Here is a relaxed Ba2NaGa3Au12 crystal from the Alexandria database. Energies are from PBE-GGA.

Cell: 8.292 8.292 8.292 Å, 67.71 67.71 67.71°
Element x y z (fractional)
Au 0.133 0.133 0.638
Au 0.853 0.324 0.324
Au 0.676 0.676 0.147
Ga 0.000 0.500 0.000
Au 0.638 0.133 0.133
Au 0.867 0.362 0.867
Ga 0.000 0.000 0.500
Au 0.147 0.676 0.676
Au 0.324 0.853 0.324
Au 0.133 0.638 0.133
Ba 0.612 0.612 0.612
Ga 0.500 0.000 0.000
Ba 0.388 0.388 0.388
Au 0.867 0.867 0.362
Na 0.000 0.000 0.000
Au 0.362 0.867 0.867
Au 0.324 0.324 0.853
Au 0.676 0.147 0.676

Properties
formation enthalpy at 0 K = -148 meV/atom

Record 23
Here is a relaxed Ba2NaGa4Au3 crystal from the Alexandria database. Energies are from PBE-GGA.

Cell: 4.691 4.691 11.141 Å, 90.00 90.00 90.00°
Element x y z (fractional)
Au 0.000 0.000 0.500
Ga 0.000 0.500 0.356
Au 0.500 0.000 0.879
Au 0.000 0.500 0.121
Ba 0.500 0.000 0.239
Ga 0.000 0.000 0.000
Ga 0.500 0.500 0.000
Na 0.500 0.500 0.500
Ga 0.500 0.000 0.644
Ba 0.000 0.500 0.761

Properties
formation enthalpy at 0 K = -454 meV/atom